Record 1
A plane-wave DFT calculation with PBE was carried out for crystalline Th2TcNi3P4 at its relaxed geometry.

Lattice parameters (Å, degrees): 4.083 4.083 9.399 90.00 90.00 90.00
Atoms (fractional coordinates):
Th  0.500  0.000  0.241
Th  0.000  0.500  0.759
Tc  0.500  0.500  0.500
Ni  0.000  0.000  0.500
Ni  0.500  0.000  0.886
Ni  0.000  0.500  0.114
P  0.500  0.500  0.000
P  0.000  0.000  0.000
P  0.500  0.000  0.636
P  0.000  0.500  0.364

Values from the calculation:
ΔH_f (0 K), eV per atom: -0.962
Electronic total energy, eV per cell: -73.81
Density of states at the Fermi level, states/eV/f.u.: 5.22

Record 2
A plane-wave DFT calculation with PBE was carried out for crystalline TiTcNi2P at its relaxed geometry.

Lattice parameters (Å, degrees): 4.084 4.553 4.084 90.00 90.00 90.00
Each line ends with the local moment (μB).
Atoms (fractional coordinates):
Ni  0.000  0.000  0.500  0.11
Ni  0.500  0.000  0.000  0.13
Tc  0.500  0.500  0.500  1.94
P  0.000  0.000  0.000  0.05
Ti  0.000  0.500  0.000  -0.30

Values from the calculation:
ΔH_f (0 K), eV per atom: 0.246
Electronic total energy, eV per cell: -34.00
Density of states at the Fermi level, states/eV/f.u.: 4.19

Record 3
A plane-wave DFT calculation with PBE was carried out for crystalline UTc2NiP2 at its relaxed geometry.

Lattice parameters (Å, degrees): 3.947 5.722 7.921 90.00 90.00 90.00
Each line ends with the local moment (μB).
Atoms (fractional coordinates):
U  0.000  0.950  0.437  2.12
U  0.000  0.450  0.563  2.12
Tc  0.500  0.026  0.069  -0.06
Tc  0.000  0.378  0.176  -0.05
Tc  0.500  0.526  0.931  -0.06
Tc  0.000  0.878  0.824  -0.05
Ni  0.500  0.155  0.721  -0.09
Ni  0.500  0.655  0.279  -0.09
P  0.000  0.272  0.893  0.00
P  0.500  0.265  0.319  -0.02
P  0.000  0.772  0.107  0.00
P  0.500  0.765  0.681  -0.02

Values from the calculation:
ΔH_f (0 K), eV per atom: -0.533
Electronic total energy, eV per cell: -103.64
Density of states at the Fermi level, states/eV/f.u.: 6.72

Record 4
A plane-wave DFT calculation with PBE was carried out for crystalline U2TcNi3P4 at its relaxed geometry.

Lattice parameters (Å, degrees): 4.021 4.021 9.135 90.00 90.00 90.00
Each line ends with the local moment (μB).
Atoms (fractional coordinates):
U  0.500  0.000  0.239  1.98
U  0.000  0.500  0.761  1.98
Tc  0.500  0.500  0.500  0.00
Ni  0.000  0.000  0.500  0.19
Ni  0.500  0.000  0.888  0.11
Ni  0.000  0.500  0.112  0.11
P  0.500  0.500  0.000  0.00
P  0.000  0.000  0.000  0.00
P  0.500  0.000  0.642  -0.01
P  0.000  0.500  0.358  -0.01

Values from the calculation:
ΔH_f (0 K), eV per atom: -0.718
Electronic total energy, eV per cell: -79.10
Density of states at the Fermi level, states/eV/f.u.: 15.65

Record 5
A plane-wave DFT calculation with PBE was carried out for crystalline VTcNiP2 at its relaxed geometry.

Lattice parameters (Å, degrees): 5.754 3.151 8.159 90.00 115.46 90.00
Atoms (fractional coordinates):
V  0.033  0.000  0.170
V  0.033  0.500  0.670
Tc  0.649  0.000  0.346
Tc  0.649  0.500  0.846
Ni  0.358  0.000  0.972
Ni  0.358  0.500  0.472
P  0.676  0.000  0.642
P  0.676  0.500  0.142
P  0.098  0.000  0.475
P  0.098  0.500  0.975

Values from the calculation:
Energy above the lowest structure with this stoichiometry, meV per atom: 97.3
ΔH_f (0 K), eV per atom: -0.464
Electronic total energy, eV per cell: -76.81
Density of states at the Fermi level, states/eV/f.u.: 5.48

Record 6
A plane-wave DFT calculation with PBE was carried out for crystalline VTcNiP2 at its relaxed geometry.

Lattice parameters (Å, degrees): 3.538 4.398 4.916 102.25 98.58 112.21
Atoms (fractional coordinates):
V  0.849  0.639  0.854
Tc  0.117  0.308  0.354
Ni  0.488  0.975  0.616
P  0.801  0.698  0.344
P  0.169  0.245  0.869

Values from the calculation:
Energy above the lowest structure with this stoichiometry, meV per atom: 128.5
ΔH_f (0 K), eV per atom: -0.433
Electronic total energy, eV per cell: -38.25
Density of states at the Fermi level, states/eV/f.u.: 3.31

Record 7
A plane-wave DFT calculation with PBE was carried out for crystalline VTcNiP2 at its relaxed geometry.

Lattice parameters (Å, degrees): 3.141 3.141 12.916 90.00 90.00 90.00
Atoms (fractional coordinates):
V  0.000  0.000  0.039
V  0.500  0.500  0.539
Tc  0.000  0.000  0.416
Tc  0.500  0.500  0.916
Ni  0.000  0.000  0.790
Ni  0.500  0.500  0.290
P  0.000  0.000  0.613
P  0.500  0.500  0.113
P  0.000  0.000  0.237
P  0.500  0.500  0.737

Values from the calculation:
Energy above the lowest structure with this stoichiometry, meV per atom: 232.9
ΔH_f (0 K), eV per atom: -0.329
Electronic total energy, eV per cell: -75.46
Density of states at the Fermi level, states/eV/f.u.: 2.73

Record 8
A plane-wave DFT calculation with PBE was carried out for crystalline VTcNiP2 at its relaxed geometry.

Lattice parameters (Å, degrees): 3.030 3.363 6.805 104.28 102.85 90.00
Atoms (fractional coordinates):
V  0.071  0.689  0.384
Tc  0.711  0.331  0.663
Ni  0.394  0.513  0.030
P  0.510  0.128  0.261
P  0.278  0.897  0.797

Values from the calculation:
Energy above the lowest structure with this stoichiometry, meV per atom: 66.2
ΔH_f (0 K), eV per atom: -0.495
Electronic total energy, eV per cell: -38.56
Density of states at the Fermi level, states/eV/f.u.: 4.54